No. 1
The following is a PBE calculation of RbLiMg6 after structural relaxation, from Alexandria.

Structure (POSCAR):
```
RbLiMg6
1.0
3.210 -6.885 0.000
3.210 6.885 0.000
0.000 0.000 5.184
Mg Rb Li
6 1 1
Direct
0.126 0.874 0.000 Mg
0.187 0.310 0.000 Mg
0.686 0.314 0.000 Mg
0.329 0.197 0.500 Mg
0.690 0.813 0.000 Mg
0.803 0.671 0.500 Mg
0.299 0.701 0.500 Rb
0.880 0.120 0.500 Li
```

DOS at the Fermi energy	4.741	states/eV/f.u.
E above lowest polymorph	0.05	eV per formula unit
symmetry	No. 38

No. 2
The following is a PBE calculation of RbLi2MgRh after structural relaxation, from Alexandria.

Structure (POSCAR):
```
RbLi2MgRh
1.0
5.105 0.000 0.000
0.000 5.092 0.000
0.000 0.000 5.105
Rb Li Mg Rh
1 2 1 1
Direct
0.500 0.500 0.500 Rb
0.000 0.000 0.500 Li
0.500 0.000 0.000 Li
0.000 0.500 0.000 Mg
0.000 0.000 0.000 Rh
```

DOS at the Fermi energy	1.917	states/eV/f.u.
symmetry	No. 123

Summary of VASP energy in eV/atom
-1.346; -2.645
(order as listed above)